Record 1
HfAl2Fe2 (GGA-PBE, relaxed); distance to the lowest polymorph of the same formula = 0.000 eV/atom; volume = 14.02 Å³ per atom; calculated total energy = -0.523 Ry per atom; density of states at the Fermi level = 5.0 states/eV/cell; theoretical density = 8.2 g/cm3
1.0
6.9341 0.0000 0.0000
0.0000 6.9341 0.0000
0.0000 0.0000 2.9159
Hf Al Fe
2 4 4
Direct
0.0000 0.0000 0.0000
0.5000 0.5000 0.0000
0.1417 0.3583 0.5000
0.3583 0.8583 0.5000
0.6417 0.1417 0.5000
0.8583 0.6417 0.5000
0.1528 0.6528 0.0000
0.3472 0.1528 0.0000
0.6528 0.8472 0.0000
0.8472 0.3472 0.0000


Record 2
HfAl2Fe (GGA-PBE, relaxed); volume = 15.70 Å³ per atom; calculated total energy = -0.505 Ry per atom; density of states at the Fermi level = 10.1 states/eV/cell; theoretical density = 7.6 g/cm3
1.0
14.0237 0.0000 0.0000
0.0000 6.9294 0.0000
0.0000 0.0000 5.1699
Hf Al Fe
8 16 8
Direct
0.0968 0.2500 0.2277
0.1381 0.7500 0.4505
0.3619 0.2500 0.9505
0.4032 0.7500 0.7277
0.5968 0.2500 0.2723
0.6381 0.7500 0.0495
0.8619 0.2500 0.5495
0.9032 0.7500 0.7723
0.0407 0.0574 0.7423
0.0407 0.4426 0.7423
0.2135 0.5484 0.9352
0.2135 0.9516 0.9352
0.2865 0.0484 0.4352
0.2865 0.4516 0.4352
0.4593 0.5574 0.2423
0.4593 0.9426 0.2423
0.5407 0.0574 0.7577
0.5407 0.4426 0.7577
0.7135 0.5484 0.5648
0.7135 0.9516 0.5648
0.7865 0.0484 0.0648
0.7865 0.4516 0.0648
0.9593 0.5574 0.2577
0.9593 0.9426 0.2577
0.0731 0.7500 0.9890
0.1922 0.2500 0.7080
0.3078 0.7500 0.2080
0.4269 0.2500 0.4890
0.5731 0.7500 0.5110
0.6922 0.2500 0.7920
0.8078 0.7500 0.2920
0.9269 0.2500 0.0110


Record 3
Hf2Al2Fe15 (GGA-PBE, relaxed); volume = 12.75 Å³ per atom; calculated total energy = -0.606 Ry per atom; density of states at the Fermi level = 16.5 states/eV/cell; theoretical density = 8.6 g/cm3
1.0
4.1079 2.3717 4.1451
-4.1079 2.3717 4.1451
0.0000 -4.7434 4.1451
Hf Al Fe
2 2 15
Direct
0.1512 0.1512 0.1512
0.8488 0.8488 0.8488
0.3974 0.3974 0.3974
0.6026 0.6026 0.6026
0.0000 0.5000 0.5000
0.1564 0.1564 0.6621
0.1564 0.6621 0.1564
0.1887 0.5000 0.8113
0.1887 0.8113 0.5000
0.3379 0.8436 0.8436
0.5000 0.0000 0.5000
0.5000 0.1887 0.8113
0.5000 0.5000 0.0000
0.5000 0.8113 0.1887
0.6621 0.1564 0.1564
0.8113 0.1887 0.5000
0.8113 0.5000 0.1887
0.8436 0.3379 0.8436
0.8436 0.8436 0.3379


Record 4
HfAlFe2 (GGA-PBE, relaxed); volume = 13.64 Å³ per atom; calculated total energy = -0.586 Ry per atom; density of states at the Fermi level = 4.8 states/eV/cell; theoretical density = 9.6 g/cm3
1.0
4.2079 0.0000 0.0000
0.0000 4.2079 0.0000
0.0000 0.0000 3.0823
Hf Al Fe
1 1 2
Direct
0.0000 0.0000 0.0000
0.5000 0.5000 0.0000
0.0000 0.5000 0.5000
0.5000 0.0000 0.5000


Record 5
HfAl2Fe9 (GGA-PBE, relaxed); volume = 12.82 Å³ per atom; calculated total energy = -0.582 Ry per atom; density of states at the Fermi level = 12.0 states/eV/cell; theoretical density = 7.9 g/cm3
1.0
2.3967 1.3838 7.7286
-2.3967 1.3838 7.7286
0.0000 -2.7675 7.7286
Hf Al Fe
1 2 9
Direct
0.0000 0.0000 0.0000
0.1424 0.1424 0.1424
0.8576 0.8576 0.8576
0.0798 0.5899 0.5898
0.3346 0.3346 0.3346
0.4102 0.4101 0.9202
0.4102 0.9202 0.4102
0.5000 0.5000 0.5000
0.5898 0.0798 0.5898
0.5898 0.5898 0.0798
0.6654 0.6654 0.6654
0.9202 0.4102 0.4102


Record 6
Hf2Al6Fe (GGA-PBE, relaxed); volume = 16.65 Å³ per atom; calculated total energy = -0.437 Ry per atom; density of states at the Fermi level = 5.3 states/eV/cell; theoretical density = 6.4 g/cm3
1.0
4.7589 -2.7466 0.0000
4.7589 2.7466 0.0000
-0.0073 0.0000 5.7318
Hf Al Fe
2 6 1
Direct
0.1665 0.1665 0.3834
0.8335 0.8335 0.6166
0.1584 0.6704 0.1897
0.3295 0.3295 0.8095
0.3296 0.8416 0.8103
0.6704 0.1584 0.1897
0.6705 0.6705 0.1905
0.8416 0.3296 0.8103
0.5000 0.5000 0.5000